Gd2Sn5Ir3: relaxed, GGA-PBE.

Cell: 11.2056 12.6022 6.3462 Å, 90.00 90.00 90.00°
Last column: nearest neighbours and their distance in Å.
Space group Ibam (No. 72)
Asymmetric unit:
1 Gd 0.2211 0.1494 0.0000 [8 per cell]  8 Sn 3.18-3.50, 3 Ir 3.20-3.39
2 Sn 0.0000 0.0000 0.2500 [4 per cell]  4 Ir 2.73
3 Sn 0.0000 0.2784 0.2500 [8 per cell]  3 Ir 2.65-2.79
4 Sn 0.1690 0.4168 0.0000 [8 per cell]  3 Ir 2.55-2.68
5 Ir 0.0000 0.5000 0.2500 [4 per cell]  6 Sn 2.68-2.79
6 Ir 0.1137 0.1439 0.5000 [8 per cell]  5 Sn 2.55-2.73

Values from the calculation:
As for the total energy: -6.11 eV per atom.



GdTmSn2Ir4: relaxed, GGA-PBE.

Cell: 4.5018 4.5018 9.0294 Å, 90.00 90.00 120.00°
Last column: nearest neighbours and their distance in Å.
Space group P-6m2 (No. 187)
Asymmetric unit:
1 Gd 0.0000 0.0000 0.0000 [1 per cell]  8 Ir 2.95-3.18
2 Tm 0.3333 0.6667 0.5000 [1 per cell]  8 Ir 2.92-3.13
3 Sn 0.6667 0.3333 0.2522 [2 per cell]  6 Ir 2.75
4 Ir 0.0000 0.0000 0.3518 [2 per cell]  1 Ir 2.68, 3 Sn 2.75, 3 Tm 2.92
5 Ir 0.3333 0.6667 0.1538 [2 per cell]  3 Sn 2.75, 1 Ir 2.78, 3 Gd 2.95

Values from the calculation:
As for the total energy: -7.13 eV per atom.



GdTaIr: relaxed, GGA-PBE.

Cell: 6.5106 6.5106 6.5106 Å, 90.00 90.00 90.00°
Last column: nearest neighbours and their distance in Å.
Space group F-43m (No. 216)
Asymmetric unit:
1 Gd 0.0000 0.0000 0.0000 [4 per cell]  4 Ir 2.82
2 Ta 0.0000 0.0000 0.5000 [4 per cell]  4 Ir 2.82
3 Ir 0.2500 0.2500 0.7500 [4 per cell]  4 Gd 2.82, 4 Ta 2.82

Values from the calculation:
As for the total energy: -8.54 eV per atom. Its energy of formation from the pure elements is -1.92 kcal/mol of atoms.



GdTaIr: relaxed, GGA-PBE.

Cell: 6.4350 6.4350 6.4350 Å, 90.00 90.00 90.00°
Last column: nearest neighbours and their distance in Å.
Space group F-43m (No. 216)
Asymmetric unit:
1 Gd 0.0000 0.0000 0.0000 [4 per cell]  4 Ta 2.79, 4 Ir 2.79
2 Ta 0.2500 0.2500 0.2500 [4 per cell]  4 Gd 2.79
3 Ir 0.2500 0.2500 0.7500 [4 per cell]  4 Gd 2.79

Values from the calculation:
As for the total energy: -7.35 eV per atom. Its energy of formation from the pure elements is 25.37 kcal/mol of atoms.



GdTcIr: relaxed, GGA-PBE.

Cell: 6.3761 6.3761 6.3761 Å, 90.00 90.00 90.00°
Last column: nearest neighbours and their distance in Å.
Space group F-43m (No. 216)
Asymmetric unit:
1 Gd 0.0000 0.0000 0.0000 [4 per cell]  4 Ir 2.76
2 Tc 0.0000 0.0000 0.5000 [4 per cell]  4 Ir 2.76
3 Ir 0.2500 0.2500 0.7500 [4 per cell]  4 Gd 2.76, 4 Tc 2.76

Values from the calculation:
As for the total energy: -7.73 eV per atom. Its energy of formation from the pure elements is 5.30 kcal/mol of atoms.



GdIrW: relaxed, GGA-PBE.

Cell: 6.4299 6.4299 6.4299 Å, 90.00 90.00 90.00°
Last column: nearest neighbours and their distance in Å.
Space group F-43m (No. 216)
Asymmetric unit:
1 Gd 0.0000 0.0000 0.0000 [4 per cell]  4 Ir 2.78
2 Ir 0.2500 0.2500 0.2500 [4 per cell]  4 Gd 2.78, 4 W 2.78
3 W 0.0000 0.0000 0.5000 [4 per cell]  4 Ir 2.78

Values from the calculation:
As for the total energy: -8.51 eV per atom. Its energy of formation from the pure elements is 7.17 kcal/mol of atoms.



GdYIr: relaxed, GGA-PBE.

Cell: 6.8192 6.8192 6.8192 Å, 90.00 90.00 90.00°
Last column: nearest neighbours and their distance in Å.
Space group F-43m (No. 216)
Asymmetric unit:
1 Gd 0.0000 0.0000 0.0000 [4 per cell]  4 Ir 2.95
2 Y 0.0000 0.0000 0.5000 [4 per cell]  4 Ir 2.95
3 Ir 0.2500 0.2500 0.7500 [4 per cell]  4 Gd 2.95, 4 Y 2.95

Values from the calculation:
As for the total energy: -7.32 eV per atom. Its energy of formation from the pure elements is -15.23 kcal/mol of atoms.



GdZnIr: relaxed, GGA-PBE.

Cell: 6.4437 6.4437 6.4437 Å, 90.00 90.00 90.00°
Last column: nearest neighbours and their distance in Å.
Space group F-43m (No. 216)
Asymmetric unit:
1 Gd 0.0000 0.0000 0.0000 [4 per cell]  4 Ir 2.79
2 Zn 0.0000 0.0000 0.5000 [4 per cell]  4 Ir 2.79
3 Ir 0.2500 0.2500 0.7500 [4 per cell]  4 Gd 2.79, 4 Zn 2.79

Values from the calculation:
As for the total energy: -5.37 eV per atom. Its energy of formation from the pure elements is -10.38 kcal/mol of atoms.



GdZrIr: relaxed, GGA-PBE.

Cell: 6.5428 6.5428 6.5428 Å, 90.00 90.00 90.00°
Last column: nearest neighbours and their distance in Å.
Space group F-43m (No. 216)
Asymmetric unit:
1 Gd 0.0000 0.0000 0.0000 [4 per cell]  4 Zr 2.83, 4 Ir 2.83
2 Zr 0.2500 0.2500 0.2500 [4 per cell]  4 Gd 2.83
3 Ir 0.2500 0.2500 0.7500 [4 per cell]  4 Gd 2.83

Values from the calculation:
As for the total energy: -6.86 eV per atom. Its energy of formation from the pure elements is 11.33 kcal/mol of atoms.



KGd2: relaxed, GGA-PBE.

Cell: 8.0361 8.0361 8.0361 Å, 90.00 90.00 90.00°
Last column: nearest neighbours and their distance in Å.
Space group Fm-3m (No. 225)
Asymmetric unit:
1 K 0.0000 0.0000 0.0000 [4 per cell]  8 Gd 3.48
2 Gd 0.2500 0.2500 0.2500 [8 per cell]  4 K 3.48

Values from the calculation:
As for the total energy: -2.22 eV per atom.



K2Gd: relaxed, GGA-PBE.

Cell: 9.3955 9.3955 9.3955 Å, 90.00 90.00 90.00°
Last column: nearest neighbours and their distance in Å.
Space group Fm-3m (No. 225)
Asymmetric unit:
1 K 0.2500 0.2500 0.2500 [8 per cell]  4 Gd 4.07
2 Gd 0.0000 0.0000 0.0000 [4 per cell]  8 K 4.07

Values from the calculation:
As for the total energy: -1.26 eV per atom.



K2Gd: relaxed, GGA-PBE.

Cell: 10.4850 10.4850 10.4850 Å, 90.00 90.00 90.00°
Last column: nearest neighbours and their distance in Å.
Space group Fd-3m (No. 227, origin choice 2)
Asymmetric unit:
1 K 0.0000 0.0000 0.0000 [16 per cell]  6 K 3.71
2 Gd 0.1250 0.1250 0.6250 [8 per cell]  12 K 4.35, 4 Gd 4.54

Values from the calculation:
As for the total energy: -1.60 eV per atom.



The calculation returns the following total magnetization values, one per record and in order: 0.03 0.00 0.15 0.02 3.99 0.07 0.01 0.00 0.02 6.52 8.54 10.22 Bohr magnetons per cell.